Compound: BeCrN2O
Source: Alexandria
Functional: PBE+U
Structure: relaxed

## Properties
Electronic total energy (eV/atom): -6.158

Lattice parameters (Å, degrees): 3.2854 3.2854 3.9986 90.00 90.00 90.00
Closest atoms and distances in Å follow each position.
Positions (direct):
O (0.0000, 0.0000, 0.5000)  2 Be 2.00
N (0.5000, 0.0000, 0.0000)  2 Be 1.64
Cr (0.5000, 0.5000, 0.5000)  4 O 2.32, 8 N 2.59
N (0.0000, 0.5000, 0.0000)  2 Be 1.64
Be (0.0000, 0.0000, 0.0000)  4 N 1.64